Entry 1:
A plane-wave DFT calculation with PBE was carried out for GdPuTcIr after structural relaxation.

a = 4.8341 Å, b = 4.8341 Å, c = 4.8341 Å
α = 60.00°, β = 60.00°, γ = 60.00°
Each line ends with the local moment (μB).
Positions (direct):
1 Gd 0.5000 0.5000 0.5000  7.01
2 Ir 0.2500 0.2500 0.2500  -0.27
3 Tc 0.7500 0.7500 0.7500  -0.79
4 Pu 0.0000 0.0000 0.0000  4.79

Summary:
As for the uncorrected energy: -48.6 eV per formula unit. Its density of states at the Fermi level is 4.4 states/eV per cell. As for the crystal system: cubic. The total moment comes out at 10.947 μB per formula unit.

***

Entry 2:
A plane-wave DFT calculation with PBE was carried out for Tm4HgTe2 after structural relaxation.

a = 8.1201 Å, b = 8.1202 Å, c = 8.1164 Å
α = 109.15°, β = 109.16°, γ = 110.12°
Positions (direct):
1 Tm 0.9465 0.2511 0.3045
2 Tm 0.3037 0.4989 0.1957
3 Tm 0.9466 0.6420 0.6955
4 Tm 0.7489 0.0535 0.6954
5 Tm 0.3581 0.0535 0.3046
6 Tm 0.3032 0.1080 0.8043
7 Tm 0.5011 0.6963 0.8044
8 Tm 0.8919 0.6967 0.1956
9 Hg 0.2499 0.7499 0.5000
10 Hg 0.0001 0.0001 0.0000
11 Te 0.6251 0.3750 0.7501
12 Te 0.6249 0.8750 0.2499
13 Te 0.6250 0.3749 0.2499
14 Te 0.1250 0.3751 0.7501

Summary:
Its density of states at the Fermi level is 10.1 states/eV per cell. As for the crystal system: tetragonal. The total moment comes out at 0.000 μB per formula unit. As for the uncorrected formation energy: -0.726 eV/atom.

***

Entry 3:
A plane-wave DFT calculation with PBE was carried out for AlFePRu after structural relaxation.

a = 4.0788 Å, b = 4.0788 Å, c = 4.0788 Å
α = 60.00°, β = 60.00°, γ = 60.00°
Positions (direct):
1 Ru 0.5000 0.5000 0.5000
2 Al 0.7500 0.7500 0.7500
3 Fe 0.0000 0.0000 0.0000
4 P 0.2500 0.2500 0.2500

Summary:
As for the uncorrected energy: -28.3 eV per formula unit. Its density of states at the Fermi level is 0.9 states/eV per cell. As for the crystal system: cubic. The total moment comes out at 0.000 μB per formula unit.

***

Entry 4:
A plane-wave DFT calculation with PBE was carried out for PtN after structural relaxation.

a = 8.0382 Å, b = 5.6744 Å, c = 5.8102 Å
α = 90.00°, β = 90.00°, γ = 90.00°
Positions (direct):
1 Pt 0.6493 0.0384 0.0349
2 Pt 0.1493 0.4616 0.9651
3 Pt 0.3507 0.5384 0.4651
4 Pt 0.8507 0.9616 0.5349
5 Pt 0.2436 0.9866 0.8324
6 Pt 0.7436 0.5134 0.1676
7 Pt 0.7564 0.4866 0.6676
8 Pt 0.2564 0.0134 0.3324
9 N 0.4133 0.0280 0.0722
10 N 0.9133 0.4720 0.9278
11 N 0.5867 0.5280 0.4278
12 N 0.0867 0.9720 0.5722
13 N 0.2904 0.6446 0.7718
14 N 0.7904 0.8554 0.2282
15 N 0.7096 0.1446 0.7282
16 N 0.2096 0.3554 0.2718

Summary:
Its density of states at the Fermi level is 7.7 states/eV per cell. As for the crystal system: orthorhombic. The total moment comes out at 0.000 μB per formula unit. As for the uncorrected formation energy: 0.914 eV/atom.

***

Entry 5:
A plane-wave DFT calculation with PBE was carried out for CuIrSe2 after structural relaxation.

a = 4.7159 Å, b = 4.7159 Å, c = 5.1428 Å
α = 83.13°, β = 83.13°, γ = 45.85°
Positions (direct):
1 Cu 0.4064 0.4064 0.7332
2 Ir 0.7052 0.7052 0.5870
3 Se 0.0950 0.0950 0.8831
4 Se 0.2934 0.2934 0.2967

Summary:
Its density of states at the Fermi level is 2.2 states/eV per cell. As for the crystal system: monoclinic. The total moment comes out at 0.000 μB per formula unit. As for the uncorrected formation energy: 0.046 eV/atom.

***

Entry 6:
A plane-wave DFT calculation with PBE was carried out for Ce2PaTc after structural relaxation.

a = 3.4228 Å, b = 3.4228 Å, c = 7.7680 Å
α = 90.00°, β = 90.00°, γ = 90.00°
Positions (direct):
1 Pa 0.5000 0.5000 0.5000
2 Tc 0.5000 0.5000 0.0000
3 Ce 0.0000 0.0000 0.7778
4 Ce 0.0000 0.0000 0.2222

Summary:
As for the uncorrected energy: -31.8 eV per formula unit. Its density of states at the Fermi level is 4.8 states/eV per cell. As for the crystal system: tetragonal. The total moment comes out at 0.000 μB per formula unit.